# MnCr2Rh

Crystalline MnCr2Rh at its relaxed geometry (PBE-GGA, the Alexandria database).

Calculated values
**Magnetic moment**: 0.214 μB per atom
**Crystal system**: tetragonal
**ΔH_f (0 K)**: 61 meV/atom

abc: 4.5429 4.5429 4.5429
angles: 132.60 132.60 69.28
Each line ends with the local moment (μB).
Fractional positions:
Cr 0.0000 0.0000 0.0000  -0.69
Cr 0.5000 0.5000 0.0000  -0.69
Mn 0.2500 0.7500 0.5000  2.17
Rh 0.7500 0.2500 0.5000  0.06